Here is HfMoPd2 after structural relaxation from the Open Quantum Materials Database. Energies are from PBE-GGA.

POSCAR file:
```
HfMoPd2
1.0
0.0000 3.2140 3.2140
3.2140 0.0000 3.2140
3.2140 3.2140 0.0000
Hf Mo Pd
1 1 2
Direct
0.0000 0.0000 0.0000
0.2500 0.2500 0.2500
0.5000 0.5000 0.5000
0.7500 0.7500 0.7500
```

Results
Formation enthalpy at 0 K: -124 meV per atom
DFT total energy: -7.91 eV/atom